Record 1
First-principles (PBE-GGA) data for a relaxed structure of Pm2GaH2O6, as listed in the Alexandria database.

## Properties
Spin magnetization: 0.50 μB/f.u.
Raw total energy: -6.330 eV per atom
DOS at the Fermi energy: 14.82 states/eV per cell

CIF file:
```
data_Pm2GaH2O6
_chemical_formula_sum 'Pm6 Ga3 H6 O18'
_symmetry_space_group_name_H-M 'R -3 m'
_symmetry_Int_Tables_number 166
_symmetry_space_group_name_Hall '-R 3 2"'
_cell_length_a 5.0499
_cell_length_b 5.0499
_cell_length_c 14.9814
_cell_angle_alpha 90.00
_cell_angle_beta 90.00
_cell_angle_gamma 120.00
loop_
_atom_site_label
_atom_site_fract_x
_atom_site_fract_y
_atom_site_fract_z
Pm1 0.0000 0.0000 0.2255
Ga1 0.0000 0.0000 0.0000
H1 0.0000 0.0000 0.4204
O1 0.0066 0.5033 0.2472
```

Record 2
First-principles (PBE-GGA) data for a relaxed structure of CeUOs, as listed in the Alexandria database.

## Properties
Spin magnetization: 0.45 μB/f.u.
Offset from the most stable computed form: 0.65 eV per formula unit
Raw total energy: -9.383 eV per atom
Formation enthalpy at 0 K: 0.10 eV per atom
DOS at the Fermi energy: 12.84 states/eV per cell

CIF file:
```
data_CeUOs
_chemical_formula_sum 'Ce2 U2 Os2'
_symmetry_space_group_name_H-M 'P 1 21/m 1'
_symmetry_Int_Tables_number 11
_symmetry_space_group_name_Hall '-P 2yb'
_cell_length_a 5.576
_cell_length_b 3.174
_cell_length_c 7.492
_cell_angle_alpha 90.00
_cell_angle_beta 101.17
_cell_angle_gamma 90.00
loop_
_atom_site_label
_atom_site_fract_x
_atom_site_fract_y
_atom_site_fract_z
Ce1 0.196 0.250 0.421
U1 0.192 0.250 0.983
Os1 0.398 0.750 0.753
```

Record 3
First-principles (PBE-GGA) data for a relaxed structure of CePr2Ir, as listed in the Alexandria database.

## Properties
Spin magnetization: 2.11 μB/f.u.
Offset from the most stable computed form: 1.76 eV per formula unit
Raw total energy: -6.064 eV per atom
Formation enthalpy at 0 K: 0.02 eV per atom
DOS at the Fermi energy: 27.90 states/eV per cell

CIF file:
```
data_CePr2Ir
_chemical_formula_sum 'Ce3 Pr6 Ir3'
_symmetry_space_group_name_H-M 'R -3 m'
_symmetry_Int_Tables_number 166
_symmetry_space_group_name_Hall '-R 3 2"'
_cell_length_a 3.8816
_cell_length_b 3.8816
_cell_length_c 32.1566
_cell_angle_alpha 90.00
_cell_angle_beta 90.00
_cell_angle_gamma 120.00
loop_
_atom_site_label
_atom_site_fract_x
_atom_site_fract_y
_atom_site_fract_z
Ce1 0.0000 0.0000 0.0000
Pr1 0.0000 0.0000 0.1125
Ir1 0.0000 0.0000 0.5000
```

Record 4
First-principles (PBE-GGA) data for a relaxed structure of Re3IrPt, as listed in the Alexandria database.

## Properties
Spin magnetization: 0.00 μB/f.u.
Offset from the most stable computed form: 0.00 eV per formula unit
Raw total energy: -8.205 eV per atom
Formation enthalpy at 0 K: 2.24 eV per atom
DOS at the Fermi energy: 5.76 states/eV per cell

CIF file:
```
data_Re3IrPt
_chemical_formula_sum 'Re3 Ir1 Pt1'
_symmetry_space_group_name_H-M 'P m -3 m'
_symmetry_Int_Tables_number 221
_symmetry_space_group_name_Hall '-P 4 2 3'
_cell_length_a 4.657
_cell_length_b 4.657
_cell_length_c 4.657
_cell_angle_alpha 90.00
_cell_angle_beta 90.00
_cell_angle_gamma 90.00
loop_
_atom_site_label
_atom_site_fract_x
_atom_site_fract_y
_atom_site_fract_z
Re1 0.000 0.000 0.500
Ir1 0.000 0.000 0.000
Pt1 0.500 0.500 0.500
```